[1]
Density functional theory data (PBE) for a relaxed structure of Hf2Zr.

Output
The value obtained for the energy of formation from the pure elements is 0.289 eV per atom.

Unit cell a=5.7359 b=5.7359 c=9.5380 alpha=90.00 beta=90.00 gamma=120.00
Space group P6_3/mmc (No. 194)
Symmetry-distinct sites (fractional):
Hf 0.0000 0.0000 0.0000 x2
Hf 0.1724 0.3449 0.2500 x6
Zr 0.3333 0.6667 0.5588 x4



[2]
Density functional theory data (PBE) for a relaxed structure of La2AgO2.

Output
Its total DFT energy (no corrections) is -69.24 eV for the cell shown.

Unit cell a=4.1174 b=4.1174 c=12.7871 alpha=90.00 beta=90.00 gamma=90.00
Space group I4/mmm (No. 139)
Symmetry-distinct sites (fractional):
La 0.0000 0.0000 0.1571 x4
Ag 0.0000 0.0000 0.5000 x2
O 0.0000 0.5000 0.2500 x4



[3]
Density functional theory data (PBE) for a relaxed structure of AlCuTcW.

Output
As for the relative energy among the computed polymorphs: 0 meV/atom.

Unit cell a=6.1107 b=6.1107 c=6.1107 alpha=90.00 beta=90.00 gamma=90.00
Space group F-43m (No. 216)
Symmetry-distinct sites (fractional):
Al 0.0000 0.0000 0.0000 x4
Cu 0.2500 0.2500 0.2500 x4
Tc 0.2500 0.2500 0.7500 x4
W 0.0000 0.0000 0.5000 x4



no.,total magnetization (μB per cell)
1,2.24
2,0.01
3,0.03